Crystalline ScSi2Hg at its relaxed geometry, computed with PBE-GGA.

```
ScSi2Hg
1.0
-3.685 3.685 2.925
3.685 -3.685 2.925
3.685 3.685 -2.925
Sc Si Hg
2 4 2
direct
0.000 0.000 0.000 Sc
0.750 0.250 0.500 Sc
0.144 0.125 0.519 Si
0.375 0.856 0.981 Si
0.606 0.625 0.481 Si
0.875 0.394 0.019 Si
0.250 0.750 0.500 Hg
0.500 0.500 0.000 Hg
```

Computed properties:
The density of states at the Fermi level comes out at 0.75 states/eV/atom. As for the mass density: 6.31 g cm⁻³. Its total DFT energy (no corrections) is -33.9 eV for the cell shown. The uncorrected formation energy is 138 meV per atom.

=====

Crystalline Na5Ga4Sn2 at its relaxed geometry, computed with PBE-GGA.

```
Na5Ga4Sn2
1.0
5.021 -3.046 0.000
5.021 3.046 0.000
-4.714 0.000 9.006
Na Ga Sn
5 4 2
direct
0.000 0.000 0.000 Na
0.172 0.680 0.612 Na
0.320 0.828 0.388 Na
0.680 0.172 0.612 Na
0.828 0.320 0.388 Na
0.282 0.282 0.299 Ga
0.377 0.377 0.102 Ga
0.623 0.623 0.898 Ga
0.718 0.718 0.701 Ga
0.275 0.275 0.800 Sn
0.725 0.725 0.200 Sn
```

Computed properties:
The density of states at the Fermi level comes out at 0.29 states/eV/atom. For the formation energy, the calculation gives -0.032 eV/atom. As for the mass density: 3.80 g cm⁻³. Its total DFT energy (no corrections) is -27.1 eV for the cell shown.

=====

Crystalline LaPm4Bi2 at its relaxed geometry, computed with PBE-GGA.

```
LaPm4Bi2
1.0
-2.714 2.714 8.478
2.714 -2.714 8.478
2.714 2.714 -8.478
La Pm Bi
1 4 2
direct
0.000 0.000 0.000 La
0.000 0.500 0.500 Pm
0.180 0.180 0.000 Pm
0.500 0.000 0.500 Pm
0.820 0.820 0.000 Pm
0.366 0.366 0.000 Bi
0.634 0.634 0.000 Bi
```

Computed properties:
The density of states at the Fermi level comes out at 1.06 states/eV/atom. For the formation energy, the calculation gives 0.167 eV/atom. As for the mass density: 7.56 g cm⁻³. Its total DFT energy (no corrections) is -30.5 eV for the cell shown.

=====

Crystalline Pm3Nd2Cd at its relaxed geometry, computed with PBE-GGA.

```
Pm3Nd2Cd
1.0
5.373 -3.102 0.000
5.373 3.102 0.000
0.000 0.000 11.523
Pm Nd Cd
6 4 2
direct
0.001 0.999 0.500 Pm
0.340 0.342 0.000 Pm
0.342 0.340 0.500 Pm
0.658 0.660 0.000 Pm
0.660 0.658 0.500 Pm
0.999 0.001 0.000 Pm
0.002 0.335 0.250 Nd
0.335 0.002 0.750 Nd
0.665 0.998 0.250 Nd
0.998 0.665 0.750 Nd
0.332 0.668 0.250 Cd
0.668 0.332 0.750 Cd
```

Computed properties:
The density of states at the Fermi level comes out at 1.31 states/eV/atom. For the formation energy, the calculation gives -0.053 eV/atom. As for the mass density: 7.23 g cm⁻³. Its total DFT energy (no corrections) is -50.0 eV for the cell shown. The excess energy over the best structure of this formula in the dataset is 0 meV per atom.

=====

- What is the mass density in the first record?
  6.31 g cm⁻³